Here is CsLa2HgPt after structural relaxation from Alexandria. Energies are from PBE.

Computed properties:
- Crystal system: tetragonal
- Magnetic moment: 0.00 Bohr magnetons per cell
- Final energy: -2.50 eV per atom
- Formation energy: 915 meV per atom

Cell lengths 5.899, 5.899, 5.138 Å; angles 90.00, 90.00, 90.00 degrees
Element x y z (fractional)
Cs  0.000  0.000  0.000
La  0.000  0.500  0.000
La  0.500  0.000  0.000
Hg  0.500  0.500  0.500
Pt  0.000  0.000  0.500


Here is NaAgRu2 after structural relaxation from Alexandria. Energies are from PBE.

Computed properties:
- Crystal system: cubic
- Magnetic moment: 0.00 Bohr magnetons per cell
- ΔE to the lowest computed polymorph: 0 meV per atom
- Final energy: -4.53 eV per atom
- Formation energy: 1146 meV per atom

Cell lengths 6.356, 6.356, 6.356 Å; angles 90.00, 90.00, 90.00 degrees
Element x y z (fractional)
Na  0.000  0.000  0.000
Na  0.000  0.500  0.500
Na  0.500  0.000  0.500
Na  0.500  0.500  0.000
Ag  0.000  0.000  0.500
Ag  0.000  0.500  0.000
Ag  0.500  0.000  0.000
Ag  0.500  0.500  0.500
Ru  0.250  0.250  0.250
Ru  0.250  0.250  0.750
Ru  0.250  0.750  0.250
Ru  0.250  0.750  0.750
Ru  0.750  0.250  0.250
Ru  0.750  0.250  0.750
Ru  0.750  0.750  0.250
Ru  0.750  0.750  0.750


Here is Hg2AsSe after structural relaxation from Alexandria. Energies are from PBE.

Computed properties:
- Crystal system: tetragonal
- Magnetic moment: 0.00 Bohr magnetons per cell
- Final energy: -2.12 eV per atom

Cell lengths 6.276, 6.276, 12.146 Å; angles 90.00, 90.00, 90.00 degrees
Element x y z (fractional)
Hg  0.236  0.250  0.125
Hg  0.250  0.736  0.375
Hg  0.250  0.764  0.875
Hg  0.264  0.250  0.625
Hg  0.736  0.750  0.625
Hg  0.750  0.236  0.875
Hg  0.750  0.264  0.375
Hg  0.764  0.750  0.125
As  0.000  0.000  0.000
As  0.000  0.500  0.250
As  0.500  0.000  0.750
As  0.500  0.500  0.500
Se  0.000  0.000  0.500
Se  0.000  0.500  0.750
Se  0.500  0.000  0.250
Se  0.500  0.500  0.000


Here is HoCdPb2 after structural relaxation from Alexandria. Energies are from PBE.

Computed properties:
- Crystal system: orthorhombic
- Magnetic moment: 0.00 Bohr magnetons per cell
- ΔE to the lowest computed polymorph: 53 meV per atom
- Final energy: -3.46 eV per atom
- Formation energy: -235 meV per atom

Cell lengths 7.358, 8.008, 3.728 Å; angles 90.00, 90.00, 90.00 degrees
Element x y z (fractional)
Ho  0.000  0.000  0.000
Ho  0.500  0.500  0.000
Cd  0.000  0.500  0.000
Cd  0.500  0.000  0.000
Pb  0.250  0.250  0.500
Pb  0.250  0.750  0.500
Pb  0.750  0.250  0.500
Pb  0.750  0.750  0.500


Here is K2CoTe after structural relaxation from Alexandria. Energies are from PBE.

Computed properties:
- Crystal system: tetragonal
- Magnetic moment: 1.75 Bohr magnetons per cell
- Final energy: -2.88 eV per atom

Cell lengths 4.882, 4.882, 5.019 Å; angles 90.00, 90.00, 90.00 degrees
Element x y z (fractional)
K  0.000  0.500  0.000
K  0.500  0.000  0.000
Co  0.000  0.000  0.500
Te  0.500  0.500  0.500


Here is Te4AuO4F20 after structural relaxation from Alexandria. Energies are from PBE.

Computed properties:
- Crystal system: triclinic
- Magnetic moment: 1.05 Bohr magnetons per cell
- Final energy: -4.19 eV per atom

Cell lengths 5.713, 8.773, 10.467 Å; angles 112.16, 94.51, 92.90 degrees
Element x y z (fractional)
Te  0.228  0.381  0.249
Te  0.236  0.104  0.747
Te  0.764  0.896  0.253
Te  0.772  0.619  0.751
Au  0.000  0.000  0.000
O  0.208  0.963  0.850
O  0.255  0.150  0.135
O  0.745  0.850  0.865
O  0.792  0.037  0.150
F  0.060  0.980  0.355
F  0.064  0.617  0.847
F  0.071  0.326  0.378
F  0.086  0.273  0.875
F  0.215  0.604  0.359
F  0.277  0.237  0.645
F  0.381  0.937  0.616
F  0.388  0.447  0.126
F  0.470  0.806  0.153
F  0.483  0.620  0.655
F  0.517  0.380  0.345
F  0.530  0.194  0.847
F  0.612  0.553  0.874
F  0.619  0.063  0.384
F  0.723  0.763  0.355
F  0.785  0.396  0.641
F  0.914  0.727  0.125
F  0.929  0.674  0.622
F  0.936  0.383  0.153
F  0.940  0.020  0.645


Here is CaZr2Te after structural relaxation from Alexandria. Energies are from PBE.

Computed properties:
- Crystal system: tetragonal
- Magnetic moment: 0.00 Bohr magnetons per cell
- Final energy: -5.53 eV per atom

Cell lengths 8.604, 8.604, 6.049 Å; angles 90.00, 90.00, 90.00 degrees
Element x y z (fractional)
Ca  0.000  0.000  0.000
Ca  0.000  0.500  0.250
Ca  0.500  0.000  0.750
Ca  0.500  0.500  0.500
Zr  0.201  0.250  0.625
Zr  0.250  0.701  0.875
Zr  0.250  0.799  0.375
Zr  0.299  0.250  0.125
Zr  0.701  0.750  0.125
Zr  0.750  0.201  0.375
Zr  0.750  0.299  0.875
Zr  0.799  0.750  0.625
Te  0.000  0.000  0.500
Te  0.000  0.500  0.750
Te  0.500  0.000  0.250
Te  0.500  0.500  0.000


Here is PuHfRhO6 after structural relaxation from Alexandria. Energies are from PBE.

Computed properties:
- Crystal system: trigonal
- Magnetic moment: 6.00 Bohr magnetons per cell
- Final energy: -9.05 eV per atom

Cell lengths 5.471, 5.471, 8.637 Å; angles 90.00, 90.00, 120.00 degrees
Element x y z (fractional)
Pu  0.333  0.667  0.250
Pu  0.667  0.333  0.750
Hf  0.333  0.667  0.750
Hf  0.667  0.333  0.250
Rh  0.000  0.000  0.000
Rh  0.000  0.000  0.500
O  0.008  0.333  0.626
O  0.008  0.675  0.874
O  0.325  0.333  0.874
O  0.325  0.992  0.626
O  0.333  0.008  0.126
O  0.333  0.325  0.374
O  0.667  0.675  0.626
O  0.667  0.992  0.874
O  0.675  0.008  0.374
O  0.675  0.667  0.126
O  0.992  0.325  0.126
O  0.992  0.667  0.374


Here is Sm2ZnAu5 after structural relaxation from Alexandria. Energies are from PBE.

Computed properties:
- Crystal system: monoclinic
- Magnetic moment: 0.00 Bohr magnetons per cell
- Final energy: -3.89 eV per atom
- Formation energy: -505 meV per atom

Cell lengths 8.543, 9.068, 6.231 Å; angles 90.00, 133.18, 90.00 degrees
Element x y z (fractional)
Sm  0.000  0.250  0.000
Sm  0.000  0.750  0.000
Sm  0.500  0.250  0.000
Sm  0.500  0.750  0.000
Zn  0.110  0.000  0.500
Zn  0.610  0.500  0.500
Au  0.222  0.500  0.947
Au  0.275  0.000  0.053
Au  0.276  0.500  0.500
Au  0.498  0.224  0.500
Au  0.498  0.776  0.500
Au  0.722  0.000  0.947
Au  0.775  0.500  0.053
Au  0.776  0.000  0.500
Au  0.998  0.276  0.500
Au  0.998  0.724  0.500


Here is Ni2HPd6 after structural relaxation from Alexandria. Energies are from PBE.

Computed properties:
- Crystal system: monoclinic
- Magnetic moment: 6.00 Bohr magnetons per cell
- Final energy: -5.10 eV per atom

Cell lengths 7.283, 7.283, 4.777 Å; angles 102.61, 102.61, 97.85 degrees
Element x y z (fractional)
Ni  0.060  0.177  0.486
Ni  0.177  0.060  0.986
Ni  0.823  0.940  0.014
Ni  0.940  0.823  0.514
H  0.333  0.667  0.250
H  0.667  0.333  0.750
Pd  0.055  0.705  0.996
Pd  0.180  0.565  0.492
Pd  0.295  0.945  0.504
Pd  0.304  0.426  0.978
Pd  0.426  0.304  0.478
Pd  0.435  0.820  0.008
Pd  0.565  0.180  0.992
Pd  0.574  0.696  0.522
Pd  0.696  0.574  0.022
Pd  0.705  0.055  0.496
Pd  0.820  0.435  0.508
Pd  0.945  0.295  0.004


Here is CuAsP2 after structural relaxation from Alexandria. Energies are from PBE.

Computed properties:
- Crystal system: orthorhombic
- Magnetic moment: 0.00 Bohr magnetons per cell
- Final energy: -4.36 eV per atom
- Formation energy: 535 meV per atom

Cell lengths 5.253, 6.958, 3.407 Å; angles 90.00, 90.00, 90.00 degrees
Element x y z (fractional)
Cu  0.000  0.000  0.000
Cu  0.500  0.500  0.000
As  0.000  0.500  0.000
As  0.500  0.000  0.000
P  0.250  0.250  0.500
P  0.250  0.750  0.500
P  0.750  0.250  0.500
P  0.750  0.750  0.500


Here is CeErZn after structural relaxation from Alexandria. Energies are from PBE.

Computed properties:
- Crystal system: tetragonal
- Magnetic moment: 2.13 Bohr magnetons per cell
- ΔE to the lowest computed polymorph: 32 meV per atom
- Final energy: -4.05 eV per atom
- Formation energy: -131 meV per atom

Cell lengths 3.520, 3.520, 12.430 Å; angles 90.00, 90.00, 90.00 degrees
Element x y z (fractional)
Ce  0.000  0.000  0.000
Ce  0.500  0.500  0.500
Er  0.000  0.000  0.295
Er  0.500  0.500  0.795
Zn  0.000  0.000  0.657
Zn  0.500  0.500  0.157